Model w:
! ThIrPt | Alexandria | PBE-GGA | relaxed; values from VASP
! Total magnetic moment, μB per formula unit: 0.00
! Volume, Å³ per atom: 22.18
&SYSTEM
  ibrav = 0, nat = 3, ntyp = 3
/
ATOMIC_SPECIES
Pt 195.08 Pt.upf
Th 232.04 Th.upf
Ir 192.22 Ir.upf
CELL_PARAMETERS angstrom
4.0073 0.0000 0.0000
0.0000 4.3785 0.0000
0.0000 -2.1893 3.7919
ATOMIC_POSITIONS angstrom
Pt 0.6679 0.0000 2.5279
Th 2.6717 2.1893 1.2640
Ir 0.6677 0.0000 0.0000

Model x:
! ThIrPt | Alexandria | PBE-GGA | relaxed; values from VASP
! Total magnetic moment, μB per formula unit: 0.00
! Volume, Å³ per atom: 20.62
&SYSTEM
  ibrav = 0, nat = 6, ntyp = 3
/
ATOMIC_SPECIES
Th 232.04 Th.upf
Pt 195.08 Pt.upf
Ir 192.22 Ir.upf
CELL_PARAMETERS angstrom
-3.9542 1.2998 0.6395
0.3860 -3.7083 -3.9420
-0.7677 -4.2790 3.9502
ATOMIC_POSITIONS angstrom
Th -1.1401 -4.2938 1.6781
Pt -3.7911 -4.9394 0.4636
Pt -0.5449 -1.7481 0.1841
Ir -1.9771 0.6499 0.3197
Ir -2.3610 -1.4896 2.2948
Th -3.1959 -2.3937 -1.0304

Energetically preferred structure: model x | next structure: +0.134 eV/atom

Model w:
! ThIrPt | Alexandria | PBE-GGA | relaxed; values from VASP
! Total magnetic moment, μB per formula unit: 0.00
! Volume, Å³ per atom: 20.74
&SYSTEM
  ibrav = 0, nat = 3, ntyp = 3
/
ATOMIC_SPECIES
Ir 192.22 Ir.upf
Pt 195.08 Pt.upf
Th 232.04 Th.upf
CELL_PARAMETERS angstrom
-0.5297 1.1905 3.4914
-3.3177 -1.6958 0.0749
3.8622 -3.4710 -0.2194
ATOMIC_POSITIONS angstrom
Ir 1.0733 -2.0616 0.8658
Pt -0.1718 -3.6175 3.1964
Th -1.4532 -1.1562 2.1627

Model x:
! ThIrPt | Alexandria | PBE-GGA | relaxed; values from VASP
! Total magnetic moment, μB per formula unit: 0.00
! Volume, Å³ per atom: 22.07
&SYSTEM
  ibrav = 0, nat = 12, ntyp = 3
/
ATOMIC_SPECIES
Th 232.04 Th.upf
Ir 192.22 Ir.upf
Pt 195.08 Pt.upf
CELL_PARAMETERS angstrom
4.3954 0.0000 0.0000
-2.1977 3.8065 0.0000
0.0000 0.0000 15.8255
ATOMIC_POSITIONS angstrom
Th 0.0000 0.0000 0.0000
Ir 2.1977 1.2688 5.9390
Th 0.0000 0.0000 3.9564
Pt 0.0000 2.5377 5.9195
Pt 2.1977 1.2688 13.8323
Ir 0.0000 2.5377 9.8866
Pt 0.0000 2.5377 1.9933
Th 0.0000 0.0000 7.9128
Th 0.0000 0.0000 11.8692
Pt 2.1977 1.2688 9.9061
Ir 2.1977 1.2688 1.9738
Ir 0.0000 2.5377 13.8518

Energetically preferred structure: model x | next structure: +0.202 eV/atom

Model w:
! TiIrPt | Alexandria | PBE-GGA | relaxed; values from VASP
! Total magnetic moment, μB per formula unit: 0.00
! Volume, Å³ per atom: 15.45
&SYSTEM
  ibrav = 0, nat = 6, ntyp = 3
/
ATOMIC_SPECIES
Pt 195.08 Pt.upf
Ir 192.22 Ir.upf
Ti 47.87 Ti.upf
CELL_PARAMETERS angstrom
2.8968 0.0000 0.0000
-1.4484 5.0548 -0.0679
0.0000 -2.0327 6.3564
ATOMIC_POSITIONS angstrom
Pt 1.4484 0.3434 3.4522
Ir 0.0000 -1.2118 5.2065
Ti 1.4484 1.4406 0.9197
Pt 0.0000 2.6787 2.8363
Ir 1.4484 4.2339 1.0820
Ti 0.0000 1.5815 5.3688

Model x:
! TiIrPt | Alexandria | PBE-GGA | relaxed; values from VASP
! Total magnetic moment, μB per formula unit: 0.00
! Volume, Å³ per atom: 15.22
&SYSTEM
  ibrav = 0, nat = 6, ntyp = 3
/
ATOMIC_SPECIES
Pt 195.08 Pt.upf
Ir 192.22 Ir.upf
Ti 47.87 Ti.upf
CELL_PARAMETERS angstrom
4.0449 0.0000 -1.7010
0.0000 5.4763 0.0000
-0.5491 0.0000 4.3541
ATOMIC_POSITIONS angstrom
Pt 2.2394 1.3691 2.4952
Ir -0.2745 0.0000 2.1771
Ti 1.2571 1.3691 0.1595
Pt 1.2564 4.1072 0.1578
Ti 2.2387 4.1072 2.4936
Ir -0.2745 2.7381 2.1771

Energetically preferred structure: model x | next structure: +0.097 eV/atom

Model w:
! TiIrPt | Alexandria | PBE-GGA | relaxed; values from VASP
! Total magnetic moment, μB per formula unit: 0.00
! Volume, Å³ per atom: 15.34
&SYSTEM
  ibrav = 0, nat = 12, ntyp = 3
/
ATOMIC_SPECIES
Pt 195.08 Pt.upf
Ir 192.22 Ir.upf
Ti 47.87 Ti.upf
CELL_PARAMETERS angstrom
-0.8409 -4.0526 1.5277
2.5808 1.2228 4.6642
-6.5653 2.4860 2.9810
ATOMIC_POSITIONS angstrom
Pt 0.2941 1.5387 4.2436
Ir -3.8225 1.4474 1.7356
Ti -3.1545 -0.9910 2.0053
Ti -2.5408 2.0622 4.0717
Pt -4.6989 0.1438 4.1657
Ti 0.3215 -1.2072 3.3450
Ir -1.8728 -0.3763 4.3414
Pt -3.4086 0.7552 6.4976
Pt -0.9964 0.9273 1.9113
Ti -6.0168 2.2783 2.7320
Ir -0.9604 -1.8219 1.0090
Ir -4.7349 2.8930 5.0679

Model x:
! TiIrPt | Alexandria | PBE-GGA | relaxed; values from VASP
! Total magnetic moment, μB per formula unit: 0.00
! Volume, Å³ per atom: 15.35
&SYSTEM
  ibrav = 0, nat = 3, ntyp = 3
/
ATOMIC_SPECIES
Ir 192.22 Ir.upf
Ti 47.87 Ti.upf
Pt 195.08 Pt.upf
CELL_PARAMETERS angstrom
-1.3680 2.1354 -1.2977
-2.2147 -1.7213 -0.4978
-0.5135 1.3262 5.8504
ATOMIC_POSITIONS angstrom
Ir -1.3653 0.9082 2.9338
Ti -3.8365 1.5675 3.4968
Pt -2.2992 0.5448 0.1934

Energetically preferred structure: model w | next structure: +0.040 eV/atom

Model w:
! Tl2IrPt | Alexandria | PBE-GGA | relaxed; values from VASP
! Total magnetic moment, μB per formula unit: 0.00
! Volume, Å³ per atom: 19.69
&SYSTEM
  ibrav = 0, nat = 4, ntyp = 3
/
ATOMIC_SPECIES
Pt 195.08 Pt.upf
Tl 204.38 Tl.upf
Ir 192.22 Ir.upf
CELL_PARAMETERS angstrom
4.6507 -0.0273 0.0137
3.5118 3.0490 0.0137
1.1244 0.4162 5.5218
ATOMIC_POSITIONS angstrom
Pt 6.9652 2.5785 4.1618
Tl 8.1558 3.0192 0.0456
Ir 2.3217 0.8595 1.3873
Tl 4.6501 1.7214 2.7563

Model x:
! Tl2IrPt | Alexandria | PBE-GGA | relaxed; values from VASP
! Total magnetic moment, μB per formula unit: 0.00
! Volume, Å³ per atom: 19.08
&SYSTEM
  ibrav = 0, nat = 4, ntyp = 3
/
ATOMIC_SPECIES
Tl 204.38 Tl.upf
Pt 195.08 Pt.upf
Ir 192.22 Ir.upf
CELL_PARAMETERS angstrom
3.5740 -3.1198 -0.4016
-0.7507 -4.6110 0.9181
0.0072 -3.1671 -3.5550
ATOMIC_POSITIONS angstrom
Tl 0.7076 -2.7245 -0.7596
Pt 1.4152 -5.4490 -1.5192
Ir 0.0000 0.0000 0.0000
Tl 2.1229 -8.1734 -2.2788

Energetically preferred structure: model x | next structure: +0.006 eV/atom

Model w:
! Tl2IrPt | Alexandria | PBE-GGA | relaxed; values from VASP
! Total magnetic moment, μB per formula unit: 0.00
! Volume, Å³ per atom: 20.78
&SYSTEM
  ibrav = 0, nat = 4, ntyp = 3
/
ATOMIC_SPECIES
Ir 192.22 Ir.upf
Tl 204.38 Tl.upf
Pt 195.08 Pt.upf
CELL_PARAMETERS angstrom
-4.5635 3.2560 3.4657
-4.9536 0.3773 4.3309
1.5995 1.0344 4.1628
ATOMIC_POSITIONS angstrom
Ir -3.9453 2.3307 5.9754
Tl -1.5249 1.0607 2.8413
Tl -9.3917 3.6039 7.7555
Pt -6.5315 3.6395 9.1635

Model x:
! Tl2IrPt | Alexandria | PBE-GGA | relaxed; values from VASP
! Total magnetic moment, μB per formula unit: 0.00
! Volume, Å³ per atom: 19.53
&SYSTEM
  ibrav = 0, nat = 4, ntyp = 3
/
ATOMIC_SPECIES
Ir 192.22 Ir.upf
Pt 195.08 Pt.upf
Tl 204.38 Tl.upf
CELL_PARAMETERS angstrom
8.8908 -0.0261 -0.0154
8.3168 3.1430 -0.0154
8.3168 1.5065 2.7585
ATOMIC_POSITIONS angstrom
Ir 6.3811 1.1558 0.6819
Pt 19.1434 3.4675 2.0458
Tl 12.7897 2.3167 1.3668
Tl 25.4970 4.6184 2.7248

Model y:
! Tl2IrPt | Alexandria | PBE-GGA | relaxed; values from VASP
! Total magnetic moment, μB per formula unit: 0.00
! Volume, Å³ per atom: 20.04
&SYSTEM
  ibrav = 0, nat = 4, ntyp = 3
/
ATOMIC_SPECIES
Pt 195.08 Pt.upf
Tl 204.38 Tl.upf
Ir 192.22 Ir.upf
CELL_PARAMETERS angstrom
-2.5596 0.7791 -1.5807
-0.0430 -4.0918 -1.9471
-3.2273 -1.9869 4.2467
ATOMIC_POSITIONS angstrom
Pt -3.9229 -3.2703 1.6857
Tl -3.0076 -1.8516 3.9575
Ir -1.3903 -0.8559 1.8294
Tl -2.3502 -2.3021 -0.3836

Energetically preferred structure: model w | next structure: +0.085 eV/atom